## Pu2BiP (PBE)

Data for Pu2BiP after structural relaxation.

abc: 4.1514 4.1514 7.7300
angles: 89.99 105.58 120.01
Site moments in Bohr magnetons follow the coordinates.
Fractional coordinates of all 4 atoms:
Pu 0.5284 0.2642 0.7925  5.15
Pu 0.4717 0.7358 0.2075  5.15
P 0.0000 0.0000 0.0000  -0.15
Bi 0.0000 0.5000 0.5000  -0.16

Results
E_form: -710 meV per atom
space group: R-3m, No. 166
DOS at the Fermi energy: 5.60 states/eV per atom